1.
PrNd3Ho6 (PBE-GGA, optimized geometry); symmetry = Cmc2_1 (36); total energy = -4.51 eV per atom; theoretical density = 7.81 g cm⁻³; D(E_F) = 1.4453 states/eV/atom; relative energy among the computed polymorphs = 0 meV per atom; formation energy from the elements = 1.5 eV per formula unit
1.0
5.534 -9.494 0.000
5.534 9.494 0.000
0.000 0.000 6.326
Pr Nd Ho
2 6 12
direct
0.198 0.802 0.500
0.802 0.198 0.000
0.064 0.288 0.670
0.288 0.064 0.170
0.390 0.610 0.564
0.610 0.390 0.064
0.712 0.936 0.670
0.936 0.712 0.170
0.040 0.960 0.753
0.047 0.467 0.261
0.276 0.724 0.987
0.287 0.380 0.092
0.380 0.287 0.592
0.467 0.047 0.761
0.533 0.953 0.261
0.620 0.713 0.092
0.713 0.620 0.592
0.724 0.276 0.487
0.953 0.533 0.761
0.960 0.040 0.253

=====

2.
ThAlPd (PBE-GGA, optimized geometry); symmetry = P4/nmm (129); total energy = -6.15 eV per atom; theoretical density = 9.47 g cm⁻³; D(E_F) = 0.6230 states/eV/atom; formation energy from the elements = -2.1 eV per formula unit
1.0
4.199 0.000 0.000
0.000 4.199 0.000
0.000 0.000 7.272
Th Al Pd
2 2 2
direct
0.250 0.250 0.144
0.750 0.750 0.856
0.250 0.750 0.500
0.750 0.250 0.500
0.250 0.250 0.709
0.750 0.750 0.291